! ScTeMo2, relaxed, DFT PBE; values from VASP
! Total magnetization in μB per formula unit: 0.0
! Density of states at the Fermi level in states/eV per atom: 1.01
! Formation energy from raw total energies in kcal/mol of atoms: 3.37
! Symmetry: No. 160
&SYSTEM
  ibrav = 0, nat = 4, ntyp = 3
/
ATOMIC_SPECIES
Te 127.60 Te.upf
Mo 95.94 Mo.upf
Sc 44.96 Sc.upf
ATOMIC_POSITIONS angstrom
Te 18.7693 3.5606 2.1050
Mo 24.9738 4.7376 2.8009
Mo 6.5085 1.2347 0.7299
Sc 12.7569 2.4200 1.4307
CELL_PARAMETERS angstrom
8.8097 -0.0022 -0.0013
8.1969 3.2284 -0.0013
8.1969 1.5550 2.8293



! ScTeMo2, relaxed, DFT PBE; values from VASP
! Total magnetization in μB per formula unit: 0.0
! Density of states at the Fermi level in states/eV per atom: 1.11
! Formation energy from raw total energies in kcal/mol of atoms: 3.98
! Symmetry: No. 65
&SYSTEM
  ibrav = 0, nat = 4, ntyp = 3
/
ATOMIC_SPECIES
Mo 95.94 Mo.upf
Sc 44.96 Sc.upf
Te 127.60 Te.upf
ATOMIC_POSITIONS angstrom
Mo -2.3769 0.9191 -1.4902
Sc -2.6367 -0.2599 1.1211
Mo 0.0000 0.0000 0.0000
Te -1.4853 -1.8102 -1.6714
CELL_PARAMETERS angstrom
-3.5283 2.4694 1.3023
-1.2255 -0.6313 -4.2828
-1.7452 -2.9892 0.9400



! ScTeMo2, relaxed, DFT PBE; values from VASP
! Total magnetization in μB per formula unit: 0.0
! Density of states at the Fermi level in states/eV per atom: 0.64
! Formation energy from raw total energies in kcal/mol of atoms: 2.17
! Symmetry: No. 12
&SYSTEM
  ibrav = 0, nat = 4, ntyp = 3
/
ATOMIC_SPECIES
Te 127.60 Te.upf
Sc 44.96 Sc.upf
Mo 95.94 Mo.upf
ATOMIC_POSITIONS angstrom
Te -0.2437 -2.9766 0.3669
Sc -0.7312 -8.9297 1.1006
Mo 1.7947 -9.6407 -1.1818
Mo -0.3975 -5.9377 0.6505
CELL_PARAMETERS angstrom
-0.2162 -4.8735 -1.8957
2.1008 -4.7518 0.6306
-2.8595 -2.2810 2.7325



! Sc2TeMo, relaxed, DFT PBE; values from VASP
! Total magnetization in μB per formula unit: 0.0
! Density of states at the Fermi level in states/eV per atom: 1.04
! Formation energy from raw total energies in kcal/mol of atoms: -3.09
! Symmetry: No. 166
&SYSTEM
  ibrav = 0, nat = 4, ntyp = 3
/
ATOMIC_SPECIES
Mo 95.94 Mo.upf
Te 127.60 Te.upf
Sc 44.96 Sc.upf
ATOMIC_POSITIONS angstrom
Mo 18.3072 3.8595 2.2943
Te 6.1024 1.2865 0.7648
Sc 12.0622 2.5429 1.5117
Sc 0.1426 0.0301 0.0179
CELL_PARAMETERS angstrom
8.6143 0.0409 0.0243
7.8977 3.4401 0.0243
7.8977 1.6650 3.0104